Model w:
Density functional theory data (PBE with a Hubbard U) for a relaxed structure of P2WSO.

Cell: 4.033 4.033 4.423 Å, 90.00 90.00 90.00°
Each line ends with the local moment (μB).
Atoms (fractional coordinates):
O 0.000 0.000 0.000  -0.03
P 0.000 0.500 0.000  -0.17
P 0.500 0.000 0.000  -0.17
S 0.000 0.000 0.500  -0.15
W 0.500 0.500 0.500  2.47

***

Model x:
Density functional theory data (PBE with a Hubbard U) for a relaxed structure of P2WSO.

Cell: 4.575 4.575 3.473 Å, 90.00 90.00 90.00°
Each line ends with the local moment (μB).
Atoms (fractional coordinates):
P 0.000 0.500 0.000  -0.16
P 0.500 0.000 0.000  -0.16
O 0.000 0.000 0.500  -0.02
W 0.500 0.500 0.500  2.43
S 0.000 0.000 0.000  0.00

***

Energetically preferred structure: model x | next structure: +0.099 eV/atom